The following is a PBE with a Hubbard U calculation of a relaxed Rb4Ni3F10 crystal, from Alexandria.

Output
- D(E_F) (states/eV/cell) = 0.00
- magnetic moment (μB/cell) = 6.00
- raw total energy (eV/atom) = -4.26
- SG = I4/mmm, No. 139

abc: 15.4623 15.4623 15.4623
angles: 164.62 164.62 21.82
Closest atoms and distances in Å follow each position.
Fractional positions:
Rb (0.0679, 0.0679, 0.0000)  12 F 2.92-2.93
Rb (0.2030, 0.2030, 0.0000)  9 F 2.86-2.93
Rb (0.7970, 0.7970, 0.0000)  9 F 2.86-2.93
Rb (0.9321, 0.9321, 0.0000)  12 F 2.92-2.93
Ni (0.3637, 0.3637, 0.0000)  6 F 2.02-2.07
Ni (0.5000, 0.5000, 0.0000)  6 F 2.06-2.07
Ni (0.6363, 0.6363, 0.0000)  6 F 2.02-2.07
F (0.0000, 0.5000, 0.5000)  2 Ni 2.07
F (0.1362, 0.6362, 0.5000)  2 Ni 2.07
F (0.2971, 0.2971, 0.0000)  1 Ni 2.02
F (0.3638, 0.8638, 0.5000)  2 Ni 2.07
F (0.4320, 0.4320, 0.0000)  2 Ni 2.06-2.07
F (0.5000, 0.0000, 0.5000)  2 Ni 2.07
F (0.5680, 0.5680, 0.0000)  2 Ni 2.06-2.07
F (0.6362, 0.1362, 0.5000)  2 Ni 2.07
F (0.7029, 0.7029, 0.0000)  1 Ni 2.02
F (0.8638, 0.3638, 0.5000)  2 Ni 2.07